# Cs4Rb5Na4

Cs4Rb5Na4 after structural relaxation (PBE, Alexandria).

Lattice parameters (Å, degrees): 7.271 12.388 12.388 85.06 72.94 72.94
Sites, in units of the cell vectors:
Cs1 0.891 0.481 0.737
Cs2 0.628 0.263 0.481
Cs3 0.109 0.519 0.263
Cs4 0.372 0.737 0.519
Rb1 0.682 0.911 0.724
Rb2 0.318 0.089 0.276
Rb3 0.000 0.000 0.000
Rb4 0.593 0.724 0.089
Rb5 0.407 0.276 0.911
Na1 0.771 0.348 0.110
Na2 0.229 0.652 0.890
Na3 0.881 0.890 0.348
Na4 0.119 0.110 0.652

Values from the calculation:
**Mass density**: 1.7 g cm⁻³
**Total magnetization**: 0.00 μB/f.u.
**Calculated total energy**: -1.0180 eV per atom
**Calculated formation energy**: 0.023 eV/atom